# PBE Hf4GaC2, relaxed
# electronic total energy	-66.4	eV/f.u.
# E_form	-732	meV per atom
# crystal system	orthorhombic
data_Hf4GaC2
_chemical_formula_sum 'Hf16 Ga4 C8'
_cell_length_a 3.378
_cell_length_b 11.242
_cell_length_c 11.727
_cell_angle_alpha 90.00
_cell_angle_beta 90.00
_cell_angle_gamma 90.00
_space_group_name_H-M_alt 'C m c m'
_space_group_IT_number 63
_space_group_name_Hall '-C 2c 2'
loop_
_atom_site_label
_atom_site_fract_x
_atom_site_fract_y
_atom_site_fract_z
_atom_site_occupancy
Hf1 0.000 0.000 0.000 1
Hf2 0.000 0.261 0.107 1
Hf3 0.000 0.422 0.750 1
Ga1 0.000 0.109 0.750 1
C1 0.000 0.364 0.560 1